GGA-PBEsol BaPtSeN2, relaxed; density of states at the Fermi level = 6.98 states/eV per cell; formation energy (no corrections) = 10.65 eV/f.u.; energy = -19.37 eV per formula unit; energy relative to the lowest polymorph listed for this composition = 1719 meV/atom; symmetry = P4/mmm, No. 123; spin magnetization = 0.481 μB per atom
1.0
-2.8266 -1.6688 -2.7014
-2.0363 -1.8224 3.2565
-3.7002 5.2536 0.6262
Ba N Se Pt
1 2 1 1
Cartesian
0.0000 0.0000 0.0000 Ba
-1.4133 -0.8344 -1.3507 N
-1.0182 -0.9112 1.6282 N
-1.8501 2.6268 0.3131 Se
-4.2816 0.8812 0.5906 Pt

***

GGA-PBEsol NbPdS2Cl, relaxed; density of states at the Fermi level = 4.40 states/eV per cell; formation energy (no corrections) = 2.22 eV/f.u.; energy = -25.33 eV per formula unit; symmetry = P4/mmm, No. 123; spin magnetization = 0.447 μB per atom
1.0
4.5208 0.0000 0.0000
0.0000 4.6351 0.0000
0.0000 0.0000 4.6351
Nb S Cl Pd
1 2 1 1
Cartesian
2.2604 2.3176 2.3176 Nb
0.0000 2.3176 0.0000 S
0.0000 0.0000 2.3176 S
2.2604 0.0000 0.0000 Cl
0.0000 0.0000 0.0000 Pd

***

GGA-PBEsol Dy2CrFeO6, relaxed; density of states at the Fermi level = 13.99 states/eV per cell; formation energy (no corrections) = -26.37 eV/f.u.; energy = -87.03 eV per formula unit; symmetry = P2_1/c, No. 14; spin magnetization = 0.406 μB per atom
1.0
-0.4220 -2.7898 4.2727
1.7861 -4.4271 -2.7142
6.9497 1.6738 1.8433
Dy O Cr Fe
4 12 2 2
Cartesian
1.8612 0.0305 0.3529 Dy
5.7537 -2.0858 2.4555 Dy
6.4526 -5.5735 3.0489 Dy
2.5601 -3.4573 0.9463 Dy
7.5510 -3.4322 2.7946 O
3.5316 -1.4443 1.3150 O
4.4673 -3.3206 -0.5371 O
0.7628 -2.1109 0.6072 O
3.8465 -2.2225 3.9388 O
6.6067 -1.5344 4.6598 O
1.7071 -4.0087 -1.2581 O
5.1196 0.0223 3.0112 O
4.7822 -4.0988 2.0867 O
6.0903 -1.3762 0.3759 O
2.2234 -4.1669 3.0258 O
3.1942 -5.5654 0.3906 O
3.2638 -0.5580 3.0580 Cr
0.8931 -2.2135 -1.3571 Cr
-0.2110 -1.3949 2.1363 Fe
4.3679 -1.3766 -0.4355 Fe

***

GGA-PBEsol Ga2HgO4, relaxed; formation energy (no corrections) = -9.96 eV/f.u.; energy = -38.21 eV per formula unit; energy relative to the lowest polymorph listed for this composition = 0 meV/atom; symmetry = Fd-3m, No. 227; spin magnetization = 0.000 μB per atom
1.0
6.1618 0.0000 0.0000
3.0809 5.3363 0.0000
3.0809 1.7788 5.0311
Ga O Hg
4 8 2
Cartesian
7.7022 4.4469 3.1444 Ga
4.6213 4.4469 3.1444 Ga
6.1618 1.7788 3.1444 Ga
6.1618 3.5575 0.6289 Ga
6.1618 3.5575 4.1002 O
7.9488 6.0833 4.3015 O
9.2427 3.8422 4.3015 O
9.2427 5.3363 2.1886 O
4.8679 2.8105 1.9873 O
7.4557 2.8105 1.9873 O
6.1618 5.0516 1.9873 O
10.5366 6.0833 4.3015 O
3.0809 1.7788 1.2578 Hg
0.0000 0.0000 0.0000 Hg

***

GGA-PBEsol CoRu2W, relaxed; ΔH_f (0 K) = -0.030 eV/atom; density of states at the Fermi level = 3.82 states/eV per cell; energy = -42.01 eV per formula unit; energy relative to the lowest polymorph listed for this composition = 0 meV/atom; symmetry = P4/mmm, No. 123; spin magnetization = 0.001 μB per atom
1.0
-0.0266 -0.3635 3.7021
-0.3269 -3.7084 -0.3665
3.7264 -0.3280 -0.0054
W Ru Co
1 2 1
Cartesian
1.6864 -2.1999 1.6651 W
-0.1635 -1.8542 -0.1832 Ru
1.8632 -0.1640 -0.0027 Ru
-0.0133 -0.1817 1.8510 Co

***

GGA-PBEsol SrZr2Ru, relaxed; ΔH_f (0 K) = 0.573 eV/atom; density of states at the Fermi level = 4.69 states/eV per cell; energy = -27.90 eV per formula unit; energy relative to the lowest polymorph listed for this composition = 504 meV/atom; symmetry = F-43m, No. 216; spin magnetization = 0.481 μB per atom
1.0
-0.9739 -4.8533 -0.0041
3.3572 -3.1966 -1.7362
2.3969 -3.0079 3.1162
Ru Sr Zr
1 1 2
Cartesian
2.3901 -5.5289 0.6880 Ru
1.1951 -2.7645 0.3440 Sr
3.5852 -8.2934 1.0320 Zr
0.0000 0.0000 0.0000 Zr

***

GGA-PBEsol AgRhC3, relaxed; ΔH_f (0 K) = 2.350 eV/atom; density of states at the Fermi level = 4.62 states/eV per cell; energy = -28.63 eV per formula unit; symmetry = Pm-3m, No. 221; spin magnetization = 0.001 μB per atom
1.0
3.9547 0.0000 0.0000
0.0000 3.9547 0.0000
0.0000 0.0000 3.9547
Ag C Rh
1 3 1
Cartesian
1.9773 1.9773 1.9773 Ag
0.0000 0.0000 1.9773 C
1.9773 0.0000 0.0000 C
0.0000 1.9773 0.0000 C
0.0000 0.0000 0.0000 Rh

***

GGA-PBEsol SrSi, relaxed; density of states at the Fermi level = 7.92 states/eV per cell; formation energy (no corrections) = -0.93 eV/f.u.; energy = -8.52 eV per formula unit; symmetry = Immm, No. 71; spin magnetization = 0.000 μB per atom
1.0
4.7330 0.0000 0.0000
2.3665 10.9874 0.0123
2.3665 3.5422 10.4007
Si Sr
10 10
Cartesian
4.7330 10.8144 2.3381 Si
4.7330 7.8120 8.4036 Si
4.7330 5.6890 9.4896 Si
4.7330 4.0614 5.7156 Si
4.7330 6.7175 2.0095 Si
7.0995 12.4555 8.9267 Si
4.7330 8.8405 0.9234 Si
4.7330 3.7151 8.0750 Si
2.3665 2.0740 1.4864 Si
4.7330 10.4681 4.6975 Si
4.7330 1.5021 3.6849 Sr
2.3665 8.8048 3.0578 Sr
4.7330 7.2648 5.2065 Sr
4.7330 3.9722 0.2384 Sr
0.0000 0.0000 0.0000 Sr
2.3665 5.7248 7.3553 Sr
4.7330 13.0274 6.7282 Sr
7.0995 9.7420 6.9819 Sr
4.7330 10.5574 10.1747 Sr
2.3665 4.7876 3.4312 Sr